Record 1
AcY6Ho3Er2 after structural relaxation. Source: Alexandria via LeMat-Bulk, functional PBE.

## Properties
For the formation energy, the calculation gives 0.034 eV/atom.

a b c (Å): 6.209 10.746 11.878
angles (deg): 90.00 99.99 90.00
Space group C2/m (No. 12)
Asymmetric unit:
Ac (0.000, 0.000, 0.000) [2 per cell]
Y (0.246, 0.332, 0.746) [8 per cell]
Y (0.249, 0.500, 0.254) [4 per cell]
Ho (0.000, 0.167, 0.500) [4 per cell]
Ho (0.000, 0.500, 0.500) [2 per cell]
Er (0.000, 0.333, 0.000) [4 per cell]

Record 2
SbPb2Cl2 after structural relaxation. Source: Alexandria via LeMat-Bulk, functional PBE.

## Properties
For the energy above the lowest structure with this stoichiometry, the calculation gives 0.079 eV/atom. The uncorrected formation energy comes out at -2.2 eV per formula unit.

a b c (Å): 9.008 9.008 3.571
angles (deg): 90.00 90.00 90.00
Space group P4/mbm (No. 127)
Asymmetric unit:
Sb (0.000, 0.000, 0.000) [2 per cell]
Pb (0.198, 0.302, 0.000) [4 per cell]
Cl (0.126, 0.626, 0.500) [4 per cell]

Record 3
CaFeTc2 after structural relaxation. Source: Alexandria via LeMat-Bulk, functional PBE.

## Properties
For the energy above the lowest structure with this stoichiometry, the calculation gives 0.200 eV/atom. For the formation energy, the calculation gives 0.569 eV/atom.

a b c (Å): 3.151 4.770 8.875
angles (deg): 90.00 90.00 90.00
Space group Imm2 (No. 44)
Asymmetric unit:
Ca (0.000, 0.000, 0.000) [2 per cell]
Fe (0.000, 0.500, 0.224) [2 per cell]
Tc (0.000, 0.000, 0.500) [2 per cell]
Tc (0.000, 0.500, 0.779) [2 per cell]